# 1
Entry from Alexandria via LeMat-Bulk: a crystal of Y2ScZn2 relaxed with PBEsol (meta-GGA SCAN).

Computed properties:
Energy of formation (eV/f.u.): -1.6
SG: No. 127
DOS at the Fermi energy (states/eV per atom): 0.954

a = 3.6864 Å, b = 7.8660 Å, c = 7.8660 Å
α = 90.00°, β = 90.00°, γ = 90.00°
With the nearest neighbours (Å) after each atom.
Positions (direct):
Sc1 0.0000 0.0000 0.0000  4 Zn 3.10, 8 Y 3.45
Sc2 0.0000 0.5000 0.5000  4 Zn 3.10, 8 Y 3.45
Zn1 0.0000 0.3726 0.8726  1 Zn 2.83, 6 Y 2.91-3.00, 2 Sc 3.10
Zn2 0.0000 0.8726 0.6274  1 Zn 2.83, 6 Y 2.91-3.00, 2 Sc 3.10
Zn3 0.0000 0.1274 0.3726  1 Zn 2.83, 6 Y 2.91-3.00, 2 Sc 3.10
Zn4 0.0000 0.6274 0.1274  1 Zn 2.83, 6 Y 2.91-3.00, 2 Sc 3.10
Y1 0.5000 0.1699 0.6699  6 Zn 2.91-3.00
Y2 0.5000 0.6699 0.8301  6 Zn 2.91-3.00
Y3 0.5000 0.8301 0.3301  6 Zn 2.91-3.00
Y4 0.5000 0.3301 0.1699  6 Zn 2.91-3.00


# 2
Entry from Alexandria via LeMat-Bulk: a crystal of KTl2Pb2 relaxed with PBEsol (meta-GGA SCAN).

Computed properties:
Energy of formation (eV/f.u.): -0.6
Offset from the most stable computed form (meV per atom): 17.4
SG: No. 127
DOS at the Fermi energy (states/eV per atom): 0.500

a = 3.5786 Å, b = 9.4029 Å, c = 9.4029 Å
α = 90.00°, β = 90.00°, γ = 90.00°
With the nearest neighbours (Å) after each atom.
Positions (direct):
Tl1 0.5000 0.8367 0.3367  6 Pb 3.28-3.30, 2 Tl 3.58
Tl2 0.5000 0.3367 0.1633  6 Pb 3.28-3.30, 2 Tl 3.58
Tl3 0.5000 0.6633 0.8367  6 Pb 3.28-3.30, 2 Tl 3.58
Tl4 0.5000 0.1633 0.6633  6 Pb 3.28-3.30, 2 Tl 3.58
Pb1 0.0000 0.6297 0.1297  6 Tl 3.28-3.30, 3 Pb 3.45-3.58
Pb2 0.0000 0.8703 0.6297  6 Tl 3.28-3.30, 3 Pb 3.45-3.58
Pb3 0.0000 0.1297 0.3703  6 Tl 3.28-3.30, 3 Pb 3.45-3.58
Pb4 0.0000 0.3703 0.8703  6 Tl 3.28-3.30, 3 Pb 3.45-3.58
K1 0.0000 0.5000 0.5000  2 K 3.58, 4 Pb 3.69, 8 Tl 3.95
K2 0.0000 0.0000 0.0000  2 K 3.58, 4 Pb 3.69, 8 Tl 3.95


# 3
Entry from Alexandria via LeMat-Bulk: a crystal of LaMnFeSi2 relaxed with PBEsol (meta-GGA SCAN).

Computed properties:
Formation energy from raw total energies (meV per atom): -595.7
SG: No. 119
DOS at the Fermi energy (states/eV per atom): 0.311

a = 3.9665 Å, b = 3.9665 Å, c = 5.8445 Å
α = 109.84°, β = 109.84°, γ = 90.00°
With the nearest neighbours (Å) after each atom.
Positions (direct):
La1 0.0000 0.0000 0.0000  8 Si 3.11, 4 Mn 3.24, 4 Fe 3.24
Fe1 0.2500 0.7500 0.5000  4 Si 2.32
Si1 0.3682 0.3682 0.7364  2 Mn 2.32, 2 Fe 2.32
Si2 0.6318 0.6318 0.2636  2 Mn 2.32, 2 Fe 2.32
Mn1 0.7500 0.2500 0.5000  4 Si 2.32


# 4
Entry from Alexandria via LeMat-Bulk: a crystal of CoRe2Tc relaxed with PBEsol (meta-GGA SCAN).

Computed properties:
Energy of formation (eV/f.u.): 0.3
Offset from the most stable computed form (meV per atom): 8.0
SG: No. 139
DOS at the Fermi energy (states/eV per atom): 0.696

a = 3.7802 Å, b = 3.7802 Å, c = 4.5864 Å
α = 114.34°, β = 114.34°, γ = 90.00°
With the nearest neighbours (Å) after each atom.
Positions (direct):
Re1 0.7500 0.2500 0.5000  4 Tc 2.65, 4 Co 2.65, 4 Re 2.67
Re2 0.2500 0.7500 0.5000  4 Tc 2.65, 4 Co 2.65, 4 Re 2.67
Co1 0.0000 0.0000 0.0000  8 Re 2.65, 4 Tc 2.67
Tc1 0.5000 0.5000 0.0000  8 Re 2.65, 4 Co 2.67


# 5
Entry from Alexandria via LeMat-Bulk: a crystal of LaAs3 relaxed with PBEsol (meta-GGA SCAN).

Computed properties:
Energy of formation (eV/f.u.): -2.8
SG: No. 194
DOS at the Fermi energy (states/eV per atom): 0.413

a = 5.7338 Å, b = 6.1246 Å, c = 6.1246 Å
α = 120.00°, β = 90.00°, γ = 90.00°
With the nearest neighbours (Å) after each atom.
Positions (direct):
As1 0.2500 0.8070 0.6140  2 As 2.58
As2 0.7500 0.1930 0.3860  2 As 2.58
As3 0.2500 0.8070 0.1930  2 As 2.58
As4 0.2500 0.3860 0.1930  2 As 2.58
As5 0.7500 0.6140 0.8070  2 As 2.58
As6 0.7500 0.1930 0.8070  2 As 2.58
La1 0.2500 0.3333 0.6667  12 As 3.08-3.23
La2 0.7500 0.6667 0.3333  12 As 3.08-3.23


# 6
Entry from Alexandria via LeMat-Bulk: a crystal of KSb2Te relaxed with PBEsol (meta-GGA SCAN).

Computed properties:
Formation energy from raw total energies (meV per atom): -281.7
SG: No. 8
DOS at the Fermi energy (states/eV per atom): 0.337

a = 4.0272 Å, b = 6.8524 Å, c = 6.3200 Å
α = 119.70°, β = 108.58°, γ = 90.00°
With the nearest neighbours (Å) after each atom.
Positions (direct):
K1 0.2050 0.7375 0.4100  3 Te 3.41-3.57, 4 Sb 3.66-3.74
Sb1 0.0693 0.1070 0.1387  2 Sb 2.93, 2 Te 3.10
Sb2 0.7729 0.3579 0.5459  2 Sb 2.93, 2 Te 3.13
Te1 0.4527 0.2975 0.9054  4 Sb 3.10-3.13, 1 K 3.41


# 7
Entry from Alexandria via LeMat-Bulk: a crystal of SrSmNiO4 relaxed with PBEsol (meta-GGA SCAN).

Computed properties:
Formation energy from raw total energies (meV per atom): -2709.5
SG: No. 107
DOS at the Fermi energy (states/eV per atom): 0.121

a = 3.7596 Å, b = 3.7596 Å, c = 6.5546 Å
α = 106.67°, β = 106.67°, γ = 90.00°
With the nearest neighbours (Å) after each atom.
Positions (direct):
O1 0.5099 0.0099 0.0197  2 Ni 1.89
O2 0.0099 0.5099 0.0197  2 Ni 1.89
O3 0.1595 0.1595 0.3190  1 Ni 1.96
O4 0.8291 0.8291 0.6583  1 Ni 2.00
Ni1 0.9962 0.9962 0.9923  6 O 1.89-2.00
Sm1 0.6370 0.6370 0.2739  5 O 2.30-2.42
Sr1 0.3585 0.3585 0.7170  5 O 2.38-2.61


# 8
Entry from Alexandria via LeMat-Bulk: a crystal of CrPb relaxed with PBEsol (meta-GGA SCAN).

Computed properties:
Energy of formation (eV/f.u.): 1.4
SG: No. 12
DOS at the Fermi energy (states/eV per atom): 0.681

a = 3.0945 Å, b = 4.5466 Å, c = 6.3121 Å
α = 110.82°, β = 104.19°, γ = 90.00°
With the nearest neighbours (Å) after each atom.
Positions (direct):
Cr1 0.6853 0.9345 0.3706  2 Cr 2.14
Cr2 0.3147 0.0655 0.6294  2 Cr 2.14
Pb1 0.8876 0.6379 0.7752  4 Cr 2.87, 2 Pb 3.09
Pb2 0.1124 0.3621 0.2248  4 Cr 2.87, 2 Pb 3.09


# 9
Entry from Alexandria via LeMat-Bulk: a crystal of YSbPdI2 relaxed with PBEsol (meta-GGA SCAN).

Computed properties:
Formation energy from raw total energies (meV per atom): 120.3
SG: No. 123
DOS at the Fermi energy (states/eV per atom): 0.375

a = 5.7377 Å, b = 5.7377 Å, c = 5.9223 Å
α = 90.00°, β = 90.00°, γ = 90.00°
With the nearest neighbours (Å) after each atom.
Positions (direct):
Pd1 0.5000 0.5000 0.5000  4 Sb 4.06, 8 I 4.12
Y1 0.0000 0.0000 0.0000  4 I 2.87, 2 Sb 2.96
I1 0.0000 0.5000 0.0000  2 Y 2.87
I2 0.5000 0.0000 0.0000  2 Y 2.87
Sb1 0.0000 0.0000 0.5000  2 Y 2.96


# 10
Entry from Alexandria via LeMat-Bulk: a crystal of Be4AsRh relaxed with PBEsol (meta-GGA SCAN).

Computed properties:
Energy of formation (eV/f.u.): -1.5
SG: No. 216
DOS at the Fermi energy (states/eV per atom): 0.225

a = 4.4109 Å, b = 4.4109 Å, c = 4.4109 Å
α = 60.00°, β = 60.00°, γ = 60.00°
With the nearest neighbours (Å) after each atom.
Positions (direct):
Be1 0.3775 0.3775 0.3775  6 Be 2.16-2.25
Be2 0.3775 0.8674 0.3775  6 Be 2.16-2.25
Be3 0.8674 0.3775 0.3775  6 Be 2.16-2.25
Be4 0.3775 0.3775 0.8674  6 Be 2.16-2.25
As1 0.0000 0.0000 0.0000  12 Be 2.59, 4 Rh 2.70
Rh1 0.7500 0.7500 0.7500  12 Be 2.58, 4 As 2.70


# 11
Entry from Alexandria via LeMat-Bulk: a crystal of CrCo2Os relaxed with PBEsol (meta-GGA SCAN).

Computed properties:
Energy of formation (eV/f.u.): 0.8
Offset from the most stable computed form (meV per atom): 96.3
SG: No. 65
DOS at the Fermi energy (states/eV per atom): 0.749

a = 2.5174 Å, b = 4.3867 Å, c = 4.3867 Å
α = 110.95°, β = 90.00°, γ = 90.00°
With the nearest neighbours (Å) after each atom.
Positions (direct):
Co1 0.0000 0.5000 0.0000  4 Co 2.49-2.52, 4 Os 2.53, 4 Cr 2.53
Co2 0.0000 0.0000 0.5000  4 Co 2.49-2.52, 4 Cr 2.53, 4 Os 2.53
Cr1 0.5000 0.5000 0.5000  2 Os 2.49, 2 Cr 2.52, 8 Co 2.53
Os1 0.5000 0.0000 0.0000  2 Cr 2.49, 2 Os 2.52, 8 Co 2.53


# 12
Entry from Alexandria via LeMat-Bulk: a crystal of Ag2PtAu relaxed with PBEsol (meta-GGA SCAN).

Computed properties:
Energy of formation (eV/f.u.): -0.1
Offset from the most stable computed form (meV per atom): 35.9
SG: No. 139
DOS at the Fermi energy (states/eV per atom): 0.367

a = 3.9920 Å, b = 3.9920 Å, c = 4.9306 Å
α = 113.88°, β = 113.88°, γ = 90.00°
With the nearest neighbours (Å) after each atom.
Positions (direct):
Ag1 0.2500 0.7500 0.5000  4 Ag 2.82, 4 Au 2.84, 4 Pt 2.84
Ag2 0.7500 0.2500 0.5000  4 Ag 2.82, 4 Au 2.84, 4 Pt 2.84
Pt1 0.0000 0.0000 0.0000  4 Au 2.82, 8 Ag 2.84
Au1 0.5000 0.5000 0.0000  4 Pt 2.82, 8 Ag 2.84